(1)
First-principles (PBE-GGA) data for Ho7Er12Th after structural relaxation, as listed in Alexandria via LeMat-Bulk.

space group	Im-3m (229)

POSCAR file:
```
Ho7Er12Th
1.0
-2.857 -2.350 8.935
-7.757 1.639 -5.538
5.161 -7.268 -3.750
Er Ho Th
12 7 1
Direct
0.506 0.753 0.753
0.753 0.999 0.247
0.247 0.753 0.999
0.247 0.494 0.247
0.753 0.753 0.506
0.001 0.753 0.247
0.247 0.001 0.753
0.999 0.247 0.753
0.494 0.247 0.247
0.753 0.247 0.001
0.247 0.247 0.494
0.753 0.506 0.753
0.500 0.500 0.000
0.500 0.500 0.500
0.000 0.000 0.500
0.500 0.000 0.500
0.000 0.500 0.000
0.500 0.000 0.000
0.000 0.500 0.500
0.000 0.000 0.000
```


(2)
First-principles (PBE-GGA) data for Ho5ErTh after structural relaxation, as listed in Alexandria via LeMat-Bulk.

space group	C2/c (15)

POSCAR file:
```
Ho5ErTh
1.0
-5.220 2.785 -1.462
-4.316 -4.867 -6.560
-5.487 -3.632 5.505
Ho Th Er
10 2 2
Direct
0.230 0.310 0.962
0.387 0.627 0.854
0.540 0.690 0.462
0.460 0.310 0.538
0.852 0.297 0.750
0.148 0.703 0.250
0.770 0.690 0.038
0.014 0.373 0.354
0.986 0.627 0.646
0.613 0.373 0.146
0.000 0.000 0.500
0.000 0.000 0.000
0.487 0.027 0.250
0.513 0.973 0.750
```


(3)
First-principles (PBE-GGA) data for Ho5Er2Th3 after structural relaxation, as listed in Alexandria via LeMat-Bulk.

space group	C2/m (12)

POSCAR file:
```
Ho5Er2Th3
1.0
4.899 0.000 1.087
1.832 4.784 3.329
-0.271 -0.859 12.802
Th Ho Er
3 5 2
Direct
0.099 0.503 0.299
0.500 0.500 0.500
0.901 0.497 0.701
0.700 0.500 0.101
0.199 0.001 0.600
0.300 0.500 0.899
0.000 0.000 0.000
0.801 0.999 0.400
0.597 0.007 0.799
0.403 0.993 0.201
```


(4)
First-principles (PBE-GGA) data for Ho9ErTh2 after structural relaxation, as listed in Alexandria via LeMat-Bulk.

space group	P6/mmm (191)

POSCAR file:
```
Ho9ErTh2
1.0
-1.168 2.795 -1.668
1.734 -5.170 -9.878
-9.941 -1.028 5.237
Ho Er Th
9 1 2
Direct
0.000 0.500 0.500
0.500 0.173 0.346
0.500 0.827 0.654
0.500 0.173 0.827
0.500 0.654 0.827
0.500 0.346 0.173
0.500 0.827 0.173
0.000 0.000 0.500
0.000 0.500 0.000
0.000 0.000 0.000
0.000 0.333 0.667
0.000 0.667 0.333
```


Formation energy per entry: 15.42 1.39 0.32 1.34 eV per formula unit
D(E_F) per entry: 28.07 11.65 13.85 23.05 states/eV/f.u.